A relaxed structure of PrLu2Ga, computed with PBE-GGA. Values from VASP.

## Properties
E_tot: -0.1655 hartree per atom
Crystal system: tetragonal
Energy of formation: -28.1 kJ/mol of atoms
SG: P4/mmm, No. 123

Geometry as Quantum ESPRESSO input:
```
&SYSTEM
  ibrav = 0, nat = 4, ntyp = 3
/
ATOMIC_SPECIES
Pr 140.91 Pr.upf
Lu 174.97 Lu.upf
Ga 69.72 Ga.upf
CELL_PARAMETERS angstrom
-2.3507 -0.3503 -2.5717
0.5674 -3.4552 -0.0480
-6.4153 -1.1370 6.0188
ATOMIC_POSITIONS crystal
Pr 0.5000 0.5000 0.5000
Lu 0.0000 0.0000 0.7981
Lu 0.0000 0.0000 0.2019
Ga 0.5000 0.5000 0.0000
```